Compound: Hf6ZnIr5
Source: the Alexandria database
Functional: GGA-PBE
Structure: relaxed

a = 4.609 Å, b = 6.598 Å, c = 8.112 Å
α = 113.99°, β = 106.50°, γ = 90.00°
Element x y z (fractional)
Ir 0.349 0.849 0.699
Hf 0.500 0.258 0.000
Ir 0.000 0.500 0.000
Zn 0.000 0.000 0.000
Hf 0.833 0.578 0.665
Ir 0.678 0.678 0.357
Hf 0.167 0.422 0.335
Hf 0.833 0.087 0.665
Ir 0.322 0.322 0.643
Ir 0.651 0.151 0.301
Hf 0.500 0.742 0.000
Hf 0.167 0.913 0.335

Summary:
**Theoretical density**: 16.260 g cm⁻³
**Total DFT energy (no corrections)**: -9.572 eV per atom
**Spin magnetization**: 0.00 μB per formula unit

Compound: Hf2ZnIr
Source: the Alexandria database
Functional: GGA-PBE
Structure: relaxed

a = 3.576 Å, b = 3.576 Å, c = 9.169 Å
α = 78.76°, β = 78.76°, γ = 60.00°
Element x y z (fractional)
Hf 0.107 0.107 0.680
Ir 0.500 0.500 0.500
Zn 0.000 0.000 0.000
Hf 0.893 0.893 0.320

Summary:
**Theoretical density**: 10.319 g cm⁻³
**Total DFT energy (no corrections)**: -7.400 eV per atom
**Spin magnetization**: 0.00 μB per formula unit

Compound: Hf8Zn2Ir
Source: the Alexandria database
Functional: GGA-PBE
Structure: relaxed

a = 5.047 Å, b = 7.434 Å, c = 7.434 Å
α = 116.72°, β = 102.46°, γ = 102.46°
Element x y z (fractional)
Hf 0.105 0.097 0.330
Hf 0.308 0.617 0.617
Zn 0.000 0.698 0.302
Ir 0.500 0.000 0.000
Hf 0.105 0.330 0.097
Hf 0.895 0.670 0.903
Zn 0.000 0.302 0.698
Hf 0.895 0.903 0.670
Hf 0.692 0.383 0.383
Hf 0.500 0.210 0.790
Hf 0.500 0.790 0.210

Summary:
**Theoretical density**: 12.805 g cm⁻³
**Total DFT energy (no corrections)**: -8.337 eV per atom
**Spin magnetization**: 0.00 μB per formula unit

Compound: Hf3ZnIr
Source: the Alexandria database
Functional: GGA-PBE
Structure: relaxed

a = 5.015 Å, b = 5.015 Å, c = 5.015 Å
α = 90.00°, β = 90.00°, γ = 90.00°
Element x y z (fractional)
Hf 0.500 0.000 0.000
Hf 0.000 0.000 0.500
Zn 0.500 0.500 0.500
Ir 0.000 0.000 0.000
Hf 0.000 0.500 0.000

Summary:
**Theoretical density**: 10.439 g cm⁻³
**Excess energy over the best structure of this formula in the dataset**: 641 meV per atom
**Spin magnetization**: 0.00 μB per formula unit

Compound: Hf3ZnIr
Source: the Alexandria database
Functional: GGA-PBE
Structure: relaxed

a = 5.254 Å, b = 9.380 Å, c = 9.380 Å
α = 60.18°, β = 79.58°, γ = 79.58°
Element x y z (fractional)
Hf 0.593 0.742 0.940
Zn 0.250 0.141 0.859
Hf 0.523 0.547 0.331
Hf 0.023 0.331 0.547
Ir 0.218 0.185 0.368
Zn 0.250 0.868 0.132
Ir 0.782 0.815 0.632
Hf 0.601 0.132 0.550
Zn 0.750 0.132 0.868
Hf 0.101 0.550 0.132
Hf 0.907 0.060 0.258
Zn 0.750 0.859 0.141
Ir 0.718 0.368 0.185
Hf 0.399 0.868 0.450
Hf 0.477 0.453 0.669
Hf 0.093 0.940 0.742
Ir 0.282 0.632 0.815
Hf 0.977 0.669 0.453
Hf 0.407 0.258 0.060
Hf 0.899 0.450 0.868

Summary:
**Theoretical density**: 13.431 g cm⁻³
**Excess energy over the best structure of this formula in the dataset**: 0 meV per atom
**Spin magnetization**: 0.00 μB per formula unit

Compound: Hf3Zn3Ir2
Source: the Alexandria database
Functional: GGA-PBE
Structure: relaxed

a = 3.275 Å, b = 7.152 Å, c = 7.152 Å
α = 120.00°, β = 90.00°, γ = 90.00°
Element x y z (fractional)
Zn 0.000 0.777 0.777
Zn 0.000 0.223 0.000
Hf 0.500 0.585 0.000
Hf 0.500 0.000 0.585
Ir 0.000 0.667 0.333
Ir 0.000 0.333 0.667
Hf 0.500 0.415 0.415
Zn 0.000 0.000 0.223

Summary:
**Theoretical density**: 12.775 g cm⁻³
**Total DFT energy (no corrections)**: -6.972 eV per atom
**Spin magnetization**: 0.00 μB per formula unit

Compound: Hf8ZnIr2
Source: the Alexandria database
Functional: GGA-PBE
Structure: relaxed

a = 5.237 Å, b = 7.436 Å, c = 7.436 Å
α = 117.00°, β = 102.37°, γ = 102.37°
Element x y z (fractional)
Hf 0.500 0.763 0.237
Hf 0.946 0.902 0.669
Hf 0.324 0.607 0.607
Zn 0.500 0.000 0.000
Hf 0.054 0.098 0.331
Hf 0.054 0.331 0.098
Ir 0.000 0.711 0.289
Ir 0.000 0.289 0.711
Hf 0.500 0.237 0.763
Hf 0.946 0.669 0.902
Hf 0.676 0.393 0.393

Summary:
**Theoretical density**: 13.251 g cm⁻³
**Total DFT energy (no corrections)**: -9.191 eV per atom
**Spin magnetization**: 0.00 μB per formula unit

Compound: HfZnIr3
Source: the Alexandria database
Functional: GGA-PBE
Structure: relaxed

a = 4.482 Å, b = 4.482 Å, c = 4.482 Å
α = 90.00°, β = 90.00°, γ = 90.00°
Element x y z (fractional)
Ir 0.000 0.000 0.500
Hf 0.500 0.500 0.500
Ir 0.000 0.500 0.000
Zn 0.000 0.000 0.000
Ir 0.500 0.000 0.000

Summary:
**Theoretical density**: 15.132 g cm⁻³
**Excess energy over the best structure of this formula in the dataset**: 0 meV per atom
**Spin magnetization**: 0.00 μB per formula unit